No. 1
Entry from OQMD via LeMat-Bulk: a geometry-optimized TbPmBi structure (PBE-GGA).

Calculated values
Its energy above the most stable polymorph in this dataset is 0 meV per atom. The calculation puts the total energy at -4.85 eV per atom. The value obtained for the volume is 407 Å³/cell.

Cell lengths 7.4096, 7.4096, 7.4096 Å; angles 90.00, 90.00, 90.00 degrees
With the nearest neighbours (Å) after each atom.
Atoms (fractional coordinates):
Tb  0.0000  0.0000  0.0000  4 Bi 3.21
Tb  0.0000  0.5000  0.5000  4 Bi 3.21
Tb  0.5000  0.0000  0.5000  4 Bi 3.21
Tb  0.5000  0.5000  0.0000  4 Bi 3.21
Pm  0.0000  0.0000  0.5000  4 Bi 3.21
Pm  0.0000  0.5000  0.0000  4 Bi 3.21
Pm  0.5000  0.0000  0.0000  4 Bi 3.21
Pm  0.5000  0.5000  0.5000  4 Bi 3.21
Bi  0.2500  0.2500  0.7500  4 Tb 3.21, 4 Pm 3.21
Bi  0.2500  0.7500  0.2500  4 Tb 3.21, 4 Pm 3.21
Bi  0.7500  0.2500  0.2500  4 Tb 3.21, 4 Pm 3.21
Bi  0.7500  0.7500  0.7500  4 Tb 3.21, 4 Pm 3.21

***

No. 2
Entry from OQMD via LeMat-Bulk: a geometry-optimized KSrEr structure (PBE-GGA).

Calculated values
Its energy above the most stable polymorph in this dataset is 0 meV per atom. The calculation puts the total energy at -1.53 eV per atom. The value obtained for the volume is 725 Å³/cell.

Cell lengths 8.9840, 8.9840, 8.9840 Å; angles 90.00, 90.00, 90.00 degrees
With the nearest neighbours (Å) after each atom.
Atoms (fractional coordinates):
K  0.0000  0.0000  0.0000  4 Er 3.89
K  0.0000  0.5000  0.5000  4 Er 3.89
K  0.5000  0.0000  0.5000  4 Er 3.89
K  0.5000  0.5000  0.0000  4 Er 3.89
Sr  0.0000  0.0000  0.5000  4 Er 3.89
Sr  0.0000  0.5000  0.0000  4 Er 3.89
Sr  0.5000  0.0000  0.0000  4 Er 3.89
Sr  0.5000  0.5000  0.5000  4 Er 3.89
Er  0.2500  0.2500  0.2500  4 Sr 3.89, 4 K 3.89
Er  0.2500  0.7500  0.7500  4 K 3.89, 4 Sr 3.89
Er  0.7500  0.2500  0.7500  4 K 3.89, 4 Sr 3.89
Er  0.7500  0.7500  0.2500  4 K 3.89, 4 Sr 3.89

***

No. 3
Entry from OQMD via LeMat-Bulk: a geometry-optimized ZnTe structure (PBE-GGA).

Calculated values
The calculation puts the total energy at -2.29 eV per atom. The value obtained for the volume is 261 Å³/cell.

Cell lengths 5.5628, 5.5047, 8.9778 Å; angles 90.00, 108.00, 90.00 degrees
With the nearest neighbours (Å) after each atom.
Atoms (fractional coordinates):
Zn  0.0000  0.0000  0.0000  4 Te 2.82-2.92
Zn  0.0065  0.0000  0.6225  5 Te 2.76-3.03
Zn  0.3854  0.0000  0.3803  5 Te 2.77-3.01
Zn  0.5606  0.5000  0.7040  5 Te 2.76-3.02
Zn  0.8580  0.5000  0.2973  5 Te 2.76-3.01
Te  0.0359  0.5000  0.6495  5 Zn 2.76-3.01, 1 Te 3.00
Te  0.1728  0.5000  0.0000  2 Zn 2.92, 2 Te 3.00
Te  0.3873  0.5000  0.3503  5 Zn 2.77-3.02, 1 Te 3.00
Te  0.5680  0.0000  0.7327  6 Zn 2.76-3.01
Te  0.8374  0.0000  0.2680  6 Zn 2.76-3.03